Here is an optimized crystal structure of HoLu2H from Alexandria. Energies are from GGA-PBE.

CIF file:
```
data_HoLu2H
_space_group_name_H-M_alt 'P 1'
_space_group_IT_number 1
_cell_length_a 3.518
_cell_length_b 3.518
_cell_length_c 8.541
_cell_angle_alpha 78.11
_cell_angle_beta 78.11
_cell_angle_gamma 60.00
loop_
_space_group_symop_operation_xyz
'x,y,z'
loop_
_atom_site_label
_atom_site_type_symbol
_atom_site_fract_x
_atom_site_fract_y
_atom_site_fract_z
Lu1 Lu 0.720 0.720 0.839
Lu2 Lu 0.280 0.280 0.161
H1 H 0.000 0.000 0.000
Ho1 Ho 0.500 0.500 0.500
```

For the density of states at the Fermi level, the calculation gives 0.764 states/eV per atom. The final energy comes out at -17.73 eV per cell.


Here is an optimized crystal structure of Mn2Nb2PdSe6 from Alexandria. Energies are from GGA-PBE.

CIF file:
```
data_Mn2Nb2PdSe6
_space_group_name_H-M_alt 'P 1'
_space_group_IT_number 1
_cell_length_a 6.667
_cell_length_b 6.667
_cell_length_c 6.616
_cell_angle_alpha 96.81
_cell_angle_beta 96.81
_cell_angle_gamma 125.09
loop_
_space_group_symop_operation_xyz
'x,y,z'
loop_
_atom_site_label
_atom_site_type_symbol
_atom_site_fract_x
_atom_site_fract_y
_atom_site_fract_z
Se1 Se 0.245 0.245 0.223
Se2 Se 0.046 0.435 0.733
Se3 Se 0.565 0.954 0.267
Se4 Se 0.755 0.755 0.777
Se5 Se 0.435 0.046 0.733
Se6 Se 0.954 0.565 0.267
Nb1 Nb 0.375 0.625 0.500
Nb2 Nb 0.625 0.375 0.500
Mn1 Mn 0.832 0.168 0.000
Mn2 Mn 0.168 0.832 0.000
Pd1 Pd 0.000 0.000 0.500
```

For the density of states at the Fermi level, the calculation gives 0.384 states/eV per atom. The final energy comes out at -69.57 eV per cell. The energy relative to the elements, uncorrected comes out at -5.0 eV/f.u.


Here is an optimized crystal structure of Ba2AgW from Alexandria. Energies are from GGA-PBE.

CIF file:
```
data_Ba2AgW
_space_group_name_H-M_alt 'P 1'
_space_group_IT_number 1
_cell_length_a 5.539
_cell_length_b 5.539
_cell_length_c 5.539
_cell_angle_alpha 60.00
_cell_angle_beta 60.00
_cell_angle_gamma 60.00
loop_
_space_group_symop_operation_xyz
'x,y,z'
loop_
_atom_site_label
_atom_site_type_symbol
_atom_site_fract_x
_atom_site_fract_y
_atom_site_fract_z
Ba1 Ba 0.000 0.000 0.000
Ba2 Ba 0.250 0.250 0.250
Ag1 Ag 0.500 0.500 0.500
W1 W 0.750 0.750 0.750
```

For the density of states at the Fermi level, the calculation gives 0.592 states/eV per atom. The final energy comes out at -15.28 eV per cell. The formation energy comes out at 1.09 eV/atom.


Here is an optimized crystal structure of Ta2PtCl from Alexandria. Energies are from GGA-PBE.

CIF file:
```
data_Ta2PtCl
_space_group_name_H-M_alt 'P 1'
_space_group_IT_number 1
_cell_length_a 4.659
_cell_length_b 4.659
_cell_length_c 4.659
_cell_angle_alpha 60.00
_cell_angle_beta 60.00
_cell_angle_gamma 60.00
loop_
_space_group_symop_operation_xyz
'x,y,z'
loop_
_atom_site_label
_atom_site_type_symbol
_atom_site_fract_x
_atom_site_fract_y
_atom_site_fract_z
Ta1 Ta 0.750 0.750 0.750
Ta2 Ta 0.000 0.000 0.000
Cl1 Cl 0.500 0.500 0.500
Pt1 Pt 0.250 0.250 0.250
```

For the density of states at the Fermi level, the calculation gives 1.034 states/eV per atom. The final energy comes out at -28.81 eV per cell. The energy relative to the elements, uncorrected comes out at 2.8 eV/f.u.


Here is an optimized crystal structure of CdCuN2O from Alexandria. Energies are from GGA-PBE.

CIF file:
```
data_CdCuN2O
_space_group_name_H-M_alt 'P 1'
_space_group_IT_number 1
_cell_length_a 3.778
_cell_length_b 3.778
_cell_length_c 4.074
_cell_angle_alpha 90.00
_cell_angle_beta 90.00
_cell_angle_gamma 90.00
loop_
_space_group_symop_operation_xyz
'x,y,z'
loop_
_atom_site_label
_atom_site_type_symbol
_atom_site_fract_x
_atom_site_fract_y
_atom_site_fract_z
O1 O 0.000 0.000 0.500
N1 N 0.000 0.500 0.000
N2 N 0.500 0.000 0.000
Cu1 Cu 0.000 0.000 0.000
Cd1 Cd 0.500 0.500 0.500
```

For the density of states at the Fermi level, the calculation gives 0.262 states/eV per atom. The final energy comes out at -21.11 eV per cell. The energy relative to the elements, uncorrected comes out at 5.5 eV/f.u.


Here is an optimized crystal structure of Dy3H12Ir5 from Alexandria. Energies are from GGA-PBE.

CIF file:
```
data_Dy3H12Ir5
_space_group_name_H-M_alt 'P 1'
_space_group_IT_number 1
_cell_length_a 10.068
_cell_length_b 10.068
_cell_length_c 10.068
_cell_angle_alpha 109.47
_cell_angle_beta 109.47
_cell_angle_gamma 109.47
loop_
_space_group_symop_operation_xyz
'x,y,z'
loop_
_atom_site_label
_atom_site_type_symbol
_atom_site_fract_x
_atom_site_fract_y
_atom_site_fract_z
H1 H 0.176 0.087 0.982
H2 H 0.589 0.895 0.413
H3 H 0.694 0.589 0.176
H4 H 0.411 0.105 0.587
H5 H 0.605 0.018 0.194
H6 H 0.806 0.482 0.395
H7 H 0.306 0.411 0.824
H8 H 0.676 0.482 0.587
H9 H 0.413 0.395 0.589
H10 H 0.306 0.895 0.982
H11 H 0.982 0.587 0.176
H12 H 0.589 0.694 0.676
H13 H 0.676 0.194 0.589
H14 H 0.982 0.395 0.306
H15 H 0.587 0.982 0.676
H16 H 0.824 0.911 0.306
H17 H 0.105 0.694 0.518
H18 H 0.087 0.911 0.105
H19 H 0.324 0.518 0.413
H20 H 0.018 0.413 0.824
H21 H 0.518 0.194 0.105
H22 H 0.806 0.324 0.911
H23 H 0.518 0.324 0.913
H24 H 0.087 0.176 0.482
H25 H 0.018 0.605 0.694
H26 H 0.605 0.587 0.911
H27 H 0.089 0.176 0.194
H28 H 0.913 0.089 0.895
H29 H 0.411 0.306 0.324
H30 H 0.089 0.913 0.395
H31 H 0.482 0.676 0.087
H32 H 0.413 0.018 0.324
H33 H 0.824 0.913 0.018
H34 H 0.324 0.806 0.411
H35 H 0.105 0.411 0.087
H36 H 0.395 0.413 0.089
H37 H 0.911 0.087 0.605
H38 H 0.911 0.824 0.806
H39 H 0.913 0.824 0.518
H40 H 0.895 0.306 0.482
H41 H 0.194 0.518 0.605
H42 H 0.482 0.806 0.895
H43 H 0.395 0.982 0.806
H44 H 0.895 0.589 0.913
H45 H 0.176 0.089 0.694
H46 H 0.694 0.105 0.018
H47 H 0.587 0.605 0.411
H48 H 0.194 0.676 0.089
Dy1 Dy 0.750 0.875 0.625
Dy2 Dy 0.625 0.250 0.375
Dy3 Dy 0.125 0.250 0.875
Dy4 Dy 0.750 0.375 0.125
Dy5 Dy 0.875 0.125 0.250
Dy6 Dy 0.625 0.375 0.750
Dy7 Dy 0.250 0.125 0.375
Dy8 Dy 0.250 0.625 0.875
Dy9 Dy 0.375 0.750 0.625
Dy10 Dy 0.375 0.625 0.250
Dy11 Dy 0.875 0.750 0.125
Dy12 Dy 0.125 0.875 0.750
Ir1 Ir 0.250 0.875 0.125
Ir2 Ir 0.875 0.250 0.625
Ir3 Ir 0.000 0.500 0.000
Ir4 Ir 0.500 0.500 0.500
Ir5 Ir 0.750 0.625 0.375
Ir6 Ir 0.125 0.750 0.375
Ir7 Ir 0.500 0.000 0.000
Ir8 Ir 0.000 0.500 0.500
Ir9 Ir 0.500 0.500 0.000
Ir10 Ir 0.375 0.125 0.750
Ir11 Ir 0.000 0.000 0.000
Ir12 Ir 0.250 0.375 0.625
Ir13 Ir 0.875 0.625 0.750
Ir14 Ir 0.375 0.250 0.125
Ir15 Ir 0.750 0.125 0.875
Ir16 Ir 0.625 0.750 0.875
Ir17 Ir 0.500 0.000 0.500
Ir18 Ir 0.000 0.000 0.500
Ir19 Ir 0.625 0.875 0.250
Ir20 Ir 0.125 0.375 0.250
```

For the density of states at the Fermi level, the calculation gives 0.318 states/eV per atom. The final energy comes out at -410.72 eV per cell.


Here is an optimized crystal structure of BaCoCl from Alexandria. Energies are from GGA-PBE.

CIF file:
```
data_BaCoCl
_space_group_name_H-M_alt 'P 1'
_space_group_IT_number 1
_cell_length_a 4.455
_cell_length_b 17.047
_cell_length_c 4.218
_cell_angle_alpha 90.00
_cell_angle_beta 90.00
_cell_angle_gamma 90.00
loop_
_space_group_symop_operation_xyz
'x,y,z'
loop_
_atom_site_label
_atom_site_type_symbol
_atom_site_fract_x
_atom_site_fract_y
_atom_site_fract_z
Cl1 Cl 0.500 0.682 0.250
Cl2 Cl 0.500 0.318 0.750
Cl3 Cl 0.000 0.818 0.750
Cl4 Cl 0.000 0.182 0.250
Co1 Co 0.000 0.973 0.750
Co2 Co 0.500 0.527 0.250
Co3 Co 0.000 0.027 0.250
Co4 Co 0.500 0.473 0.750
Ba1 Ba 0.000 0.382 0.250
Ba2 Ba 0.500 0.118 0.750
Ba3 Ba 0.000 0.618 0.750
Ba4 Ba 0.500 0.882 0.250
```

For the density of states at the Fermi level, the calculation gives 0.783 states/eV per atom. The final energy comes out at -54.02 eV per cell. The energy relative to the elements, uncorrected comes out at -2.6 eV/f.u.


Here is an optimized crystal structure of CaZrCd2 from Alexandria. Energies are from GGA-PBE.

CIF file:
```
data_CaZrCd2
_space_group_name_H-M_alt 'P 1'
_space_group_IT_number 1
_cell_length_a 3.499
_cell_length_b 3.499
_cell_length_c 8.023
_cell_angle_alpha 90.00
_cell_angle_beta 90.00
_cell_angle_gamma 90.00
loop_
_space_group_symop_operation_xyz
'x,y,z'
loop_
_atom_site_label
_atom_site_type_symbol
_atom_site_fract_x
_atom_site_fract_y
_atom_site_fract_z
Cd1 Cd 0.000 0.000 0.020
Cd2 Cd 0.000 0.000 0.480
Ca1 Ca 0.500 0.500 0.750
Zr1 Zr 0.500 0.500 0.250
```

For the density of states at the Fermi level, the calculation gives 1.019 states/eV per atom. The final energy comes out at -12.99 eV per cell. The formation energy comes out at -0.15 eV/atom.


The lowest final energy belongs to which entry?
Dy3H12Ir5